A plane-wave DFT calculation with PBE-GGA was carried out for an optimized crystal structure of NaFe2SiIr.

a = 4.188 Å, b = 4.564 Å, c = 4.188 Å
α = 90.00°, β = 90.00°, γ = 90.00°
Each line ends with the local moment (μB).
Fractional coordinates of all 5 atoms:
Ir  0.500  0.500  0.500  0.04
Fe  0.000  0.000  0.500  2.61
Na  0.000  0.000  0.000  -0.02
Si  0.000  0.500  0.000  -0.05
Fe  0.500  0.000  0.000  3.01

Total moment   5.48 μB/cell
Symmetry   No. 123
Uncorrected formation energy   1960 meV/atom
Theoretical density   7.365 g/cm³